! UMn2O5 (PBE with a Hubbard U, relaxed); values from VASP
&SYSTEM
  ibrav = 0, nat = 16, ntyp = 3
/
ATOMIC_SPECIES
O 16.00 O.upf
U 238.03 U.upf
Mn 54.94 Mn.upf
ATOMIC_POSITIONS crystal
O 0.6766 0.6433 0.3509
O 0.7618 0.1608 0.4517
O 0.6010 0.8392 0.0483
O 0.2043 0.0000 0.2500
O 0.2382 0.8392 0.5483
O 0.3990 0.1608 0.9517
O 0.3234 0.3567 0.6491
O 0.9667 0.6433 0.8509
O 0.7957 0.0000 0.7500
O 0.0333 0.3567 0.1491
U 0.0000 0.0000 0.0000
U 0.0000 0.0000 0.5000
Mn 0.3599 0.7289 0.7633
Mn 0.6310 0.2711 0.7367
Mn 0.3690 0.7289 0.2633
Mn 0.6401 0.2711 0.2367
CELL_PARAMETERS angstrom
-4.3482 2.9967 1.3809
-1.1493 -5.3036 -2.8973
1.4090 -1.4372 7.5560
! ρ in g/cm³: 6.50
! E in eV/f.u.: -70.31
! Space group: C2/c